Compound: KAuNF2
Source: Alexandria
Functional: GGA-PBEsol
Structure: relaxed

a = 4.7080 Å, b = 4.7080 Å, c = 4.8506 Å
α = 90.00°, β = 90.00°, γ = 90.00°
Each line ends with the local moment (μB).
Element x y z (fractional)
N: 0.0000 0.0000 0.5000  1.83
Au: 0.5000 0.5000 0.5000  0.05
F: 0.5000 0.0000 0.0000  0.12
F: 0.0000 0.5000 0.0000  0.12
K: 0.0000 0.0000 0.0000  0.05

Values from the calculation:
* total DFT energy (no corrections): -2.91 eV per atom
* size of the total moment: 0.607 μB per atom
* formation energy without anion corrections: 56.2 kJ per mole of atoms
* volume: 107.5 Å³/cell